An optimized crystal structure of KCa4Tl5, computed with PBE.

Computed properties:
Its spin magnetization is 0.00 μB per formula unit. For the formation enthalpy at 0 K, the calculation gives -0.359 eV/atom. The crystal system is tetragonal. The total energy comes out at -24.53 eV per cell. The volume comes out at 311 Å³ per cell.

Unit cell a=3.947 b=3.947 c=19.989 alpha=90.00 beta=90.00 gamma=90.00
Element x y z (fractional)
K  0.000  0.000  0.000
Ca  0.000  0.000  0.214
Ca  0.000  0.000  0.405
Ca  0.000  0.000  0.595
Ca  0.000  0.000  0.786
Tl  0.500  0.500  0.124
Tl  0.500  0.500  0.308
Tl  0.500  0.500  0.500
Tl  0.500  0.500  0.692
Tl  0.500  0.500  0.876